A plane-wave DFT calculation with PBEsol was carried out for an optimized crystal structure of BaLi2As.

Values from the calculation:
For the energy of formation, the calculation gives -0.675 eV per atom.

Cell lengths 4.4511, 4.4511, 17.3886 Å; angles 90.00, 90.00, 120.00 degrees
With the nearest neighbours (Å) after each atom.
Fractional coordinates of all 12 atoms:
1 Ba 0.0000 0.0000 0.0000  4 Li 3.23-3.62, 4 As 3.41-3.51
2 Ba 0.3333 0.6667 0.6667  4 Li 3.23-3.62, 4 As 3.41-3.51
3 Ba 0.6667 0.3333 0.3333  4 Li 3.23-3.62, 4 As 3.41-3.51
4 Li 0.0000 0.0000 0.5204  3 As 2.57, 3 Li 2.66
5 Li 0.0000 0.0000 0.8140  3 Li 2.66, 3 As 2.71
6 Li 0.3333 0.6667 0.1871  3 As 2.57, 3 Li 2.66
7 Li 0.3333 0.6667 0.4807  3 Li 2.66, 3 As 2.71
8 Li 0.6667 0.3333 0.1474  3 Li 2.66, 3 As 2.71
9 Li 0.6667 0.3333 0.8538  3 As 2.57, 3 Li 2.66
10 As 0.0000 0.0000 0.1962  6 Li 2.57-2.71
11 As 0.3333 0.6667 0.8628  6 Li 2.57-2.71
12 As 0.6667 0.3333 0.5295  6 Li 2.57-2.71

A plane-wave DFT calculation with PBEsol was carried out for an optimized crystal structure of LaMg2BTe.

Values from the calculation:
The value obtained for the formation energy (no corrections) is 1542 meV/atom.

Cell lengths 6.2612, 6.2612, 5.8894 Å; angles 90.00, 90.00, 90.00 degrees
With the nearest neighbours (Å) after each atom.
Fractional coordinates of all 5 atoms:
1 La 0.0000 0.0000 0.0000  2 Te 2.94, 4 Mg 3.13
2 Mg 0.0000 0.5000 0.0000  2 La 3.13
3 Mg 0.5000 0.0000 0.0000  2 La 3.13
4 B 0.5000 0.5000 0.5000  8 Mg 4.30, 4 Te 4.43
5 Te 0.0000 0.0000 0.5000  2 La 2.94

A plane-wave DFT calculation with PBEsol was carried out for an optimized crystal structure of LiWN3.

Values from the calculation:
The value obtained for the formation energy (no corrections) is 82 meV/atom.

Cell lengths 3.9332, 3.9332, 3.9332 Å; angles 90.00, 90.00, 90.00 degrees
With the nearest neighbours (Å) after each atom.
Fractional coordinates of all 5 atoms:
1 Li 0.0000 0.0000 0.0000  12 N 2.78
2 W 0.5000 0.5000 0.5000  6 N 1.97
3 N 0.0000 0.5000 0.5000  2 W 1.97
4 N 0.5000 0.0000 0.5000  2 W 1.97
5 N 0.5000 0.5000 0.0000  2 W 1.97

A plane-wave DFT calculation with PBEsol was carried out for an optimized crystal structure of Mn2CoIr.

Values from the calculation:
For the energy of formation, the calculation gives -0.098 eV per atom.

Cell lengths 3.5922, 3.5922, 7.2030 Å; angles 90.00, 90.00, 90.00 degrees
With the nearest neighbours (Å) after each atom.
Fractional coordinates of all 8 atoms:
1 Mn 0.0000 0.0000 0.0000  4 Co 2.54, 4 Mn 2.54, 4 Ir 2.54
2 Mn 0.0000 0.5000 0.2500  4 Ir 2.54, 4 Mn 2.54, 4 Co 2.54
3 Mn 0.5000 0.0000 0.7500  4 Ir 2.54, 4 Mn 2.54, 4 Co 2.54
4 Mn 0.5000 0.5000 0.5000  4 Co 2.54, 4 Mn 2.54, 4 Ir 2.54
5 Co 0.0000 0.0000 0.5000  8 Mn 2.54, 4 Ir 2.54
6 Co 0.5000 0.5000 0.0000  8 Mn 2.54, 4 Ir 2.54
7 Ir 0.0000 0.5000 0.7500  8 Mn 2.54, 4 Co 2.54
8 Ir 0.5000 0.0000 0.2500  8 Mn 2.54, 4 Co 2.54

A plane-wave DFT calculation with PBEsol was carried out for an optimized crystal structure of BeGeTe3.

Values from the calculation:
The value obtained for the formation energy (no corrections) is 375 meV/atom.

Cell lengths 4.9260, 4.9260, 4.9260 Å; angles 90.00, 90.00, 90.00 degrees
With the nearest neighbours (Å) after each atom.
Fractional coordinates of all 5 atoms:
1 Be 0.0000 0.0000 0.0000  6 Te 2.46
2 Ge 0.5000 0.5000 0.5000  12 Te 3.48
3 Te 0.0000 0.0000 0.5000  2 Be 2.46
4 Te 0.0000 0.5000 0.0000  2 Be 2.46
5 Te 0.5000 0.0000 0.0000  2 Be 2.46

A plane-wave DFT calculation with PBEsol was carried out for an optimized crystal structure of Ni6SnSb.

Values from the calculation:
The value obtained for the formation energy (no corrections) is -206 meV/atom.

Cell lengths 4.2131, 5.2489, 4.4754 Å; angles 90.00, 90.00, 90.00 degrees
With the nearest neighbours (Å) after each atom.
Fractional coordinates of all 8 atoms:
1 Ni 0.0000 0.0000 0.0000  8 Ni 2.52-2.66, 2 Sn 2.63, 2 Sb 2.65
2 Ni 0.0000 0.2484 0.4819  8 Ni 2.52-2.66, 2 Sb 2.58, 2 Sn 2.59-2.61
3 Ni 0.0000 0.7516 0.4819  8 Ni 2.52-2.66, 2 Sb 2.58, 2 Sn 2.59-2.61
4 Ni 0.5000 0.2470 0.1424  8 Ni 2.52-2.69, 2 Sb 2.58-2.60, 2 Sn 2.59
5 Ni 0.5000 0.5000 0.6205  8 Ni 2.52-2.69, 2 Sb 2.63, 2 Sn 2.67
6 Ni 0.5000 0.7530 0.1424  8 Ni 2.52-2.69, 2 Sb 2.58-2.60, 2 Sn 2.59
7 Sn 0.0000 0.5000 0.9854  12 Ni 2.59-2.67
8 Sb 0.5000 0.0000 0.6395  12 Ni 2.58-2.65